Record 1
First-principles (PBE) data for a relaxed Ba2DyPaSe6 crystal, as listed in the Alexandria database.

Cell and atoms, written as POSCAR:
```
Ba2DyPaSe6
1.0
7.476 0.000 0.000
0.000 7.882 0.000
-7.452 0.000 10.831
Ba Dy Pa Se
4 2 2 12
Direct
0.227 0.073 0.249
0.227 0.427 0.749
0.773 0.573 0.251
0.773 0.927 0.751
0.000 0.000 0.500
0.000 0.500 0.000
0.500 0.000 0.000
0.500 0.500 0.500
0.153 0.196 0.953
0.153 0.304 0.453
0.260 0.704 0.952
0.260 0.796 0.452
0.344 0.019 0.753
0.344 0.481 0.253
0.656 0.519 0.747
0.656 0.981 0.247
0.740 0.204 0.548
0.740 0.296 0.048
0.847 0.696 0.547
0.847 0.804 0.047
```

Summary:
space group: P2_1/c, No. 14
theoretical density: 5.94 g/cm³
E_form (uncorrected): -1.819 eV/atom

=====

Record 2
First-principles (PBE) data for a relaxed Ba2DyPbSe5 crystal, as listed in the Alexandria database.

Cell and atoms, written as POSCAR:
```
Ba2DyPbSe5
1.0
2.205 -9.375 0.000
2.205 9.375 0.000
0.000 0.000 13.636
Ba Dy Pb Se
4 2 2 10
Direct
0.114 0.886 0.500
0.141 0.859 0.125
0.859 0.141 0.625
0.886 0.114 0.000
0.211 0.789 0.833
0.789 0.211 0.333
0.466 0.534 0.268
0.534 0.466 0.768
0.056 0.944 0.892
0.286 0.714 0.469
0.317 0.683 0.191
0.361 0.639 0.815
0.489 0.511 0.574
0.511 0.489 0.074
0.639 0.361 0.315
0.683 0.317 0.691
0.714 0.286 0.969
0.944 0.056 0.392
```

Summary:
space group: Cmc2_1, No. 36
theoretical density: 6.12 g/cm³
E_form (uncorrected): -1.519 eV/atom

=====

Record 3
First-principles (PBE) data for a relaxed BaDyTlPb crystal, as listed in the Alexandria database.

Cell and atoms, written as POSCAR:
```
BaDyTlPb
1.0
0.000 4.061 4.061
4.061 0.000 4.061
4.061 4.061 0.000
Ba Dy Tl Pb
1 1 1 1
Direct
0.000 0.000 0.000
0.500 0.500 0.500
0.750 0.750 0.750
0.250 0.250 0.250
```

Summary:
formation energy: -0.31 eV/atom
space group: F-43m, No. 216
theoretical density: 8.82 g/cm³